# InAsPt5, PBEsol geometry, DFT meta-GGA SCAN
data_InAsPt5
_cell_length_a 4.001
_cell_length_b 4.001
_cell_length_c 7.051
_cell_angle_alpha 90.00
_cell_angle_beta 90.00
_cell_angle_gamma 90.00
_symmetry_space_group_name_H-M 'P 4/m m m'
_symmetry_Int_Tables_number 123
_symmetry_space_group_name_Hall '-P 4 2'
loop_
_atom_site_label
_atom_site_type_symbol
_atom_site_fract_x
_atom_site_fract_y
_atom_site_fract_z
In1 In 0.000 0.000 0.000
As1 As 0.500 0.500 0.500
Pt1 Pt 0.000 0.500 0.286
Pt2 Pt 0.500 0.500 0.000
# * raw total energy: -58.200 eV/atom
# * formation energy from the elements: -0.408 eV/atom

***

# InAsPtSe2, PBEsol geometry, DFT meta-GGA SCAN
data_InAsPtSe2
_cell_length_a 5.041
_cell_length_b 5.041
_cell_length_c 5.069
_cell_angle_alpha 90.00
_cell_angle_beta 90.00
_cell_angle_gamma 90.00
_symmetry_space_group_name_H-M 'P 4/m m m'
_symmetry_Int_Tables_number 123
_symmetry_space_group_name_Hall '-P 4 2'
loop_
_atom_site_label
_atom_site_type_symbol
_atom_site_fract_x
_atom_site_fract_y
_atom_site_fract_z
In1 In 0.000 0.000 0.000
As1 As 0.000 0.000 0.500
Pt1 Pt 0.500 0.500 0.500
Se1 Se 0.000 0.500 0.000
# * raw total energy: -31.486 eV/atom
# * energy relative to the elements, uncorrected: 1299 meV per atom

***

# InRe3As, PBEsol geometry, DFT meta-GGA SCAN
data_InRe3As
_cell_length_a 4.786
_cell_length_b 4.786
_cell_length_c 4.786
_cell_angle_alpha 90.00
_cell_angle_beta 90.00
_cell_angle_gamma 90.00
_symmetry_space_group_name_H-M 'P m -3 m'
_symmetry_Int_Tables_number 221
_symmetry_space_group_name_Hall '-P 4 2 3'
loop_
_atom_site_label
_atom_site_type_symbol
_atom_site_fract_x
_atom_site_fract_y
_atom_site_fract_z
In1 In 0.000 0.000 0.000
Re1 Re 0.000 0.000 0.500
As1 As 0.500 0.500 0.500
# * raw total energy: -50.087 eV/atom
# * formation energy from the elements: 3.287 eV/atom

***

# InRe2As, PBEsol geometry, DFT meta-GGA SCAN
data_InRe2As
_cell_length_a 6.292
_cell_length_b 6.292
_cell_length_c 6.292
_cell_angle_alpha 90.00
_cell_angle_beta 90.00
_cell_angle_gamma 90.00
_symmetry_space_group_name_H-M 'F m -3 m'
_symmetry_Int_Tables_number 225
_symmetry_space_group_name_Hall '-F 4 2 3'
loop_
_atom_site_label
_atom_site_type_symbol
_atom_site_fract_x
_atom_site_fract_y
_atom_site_fract_z
In1 In 0.000 0.000 0.000
Re1 Re 0.250 0.250 0.250
As1 As 0.000 0.000 0.500
# * raw total energy: -48.199 eV/atom
# * formation energy from the elements: 0.744 eV/atom

***

# InReAs2, PBEsol geometry, DFT meta-GGA SCAN
data_InReAs2
_cell_length_a 4.586
_cell_length_b 4.586
_cell_length_c 3.267
_cell_angle_alpha 90.00
_cell_angle_beta 90.00
_cell_angle_gamma 90.00
_symmetry_space_group_name_H-M 'P 4/m m m'
_symmetry_Int_Tables_number 123
_symmetry_space_group_name_Hall '-P 4 2'
loop_
_atom_site_label
_atom_site_type_symbol
_atom_site_fract_x
_atom_site_fract_y
_atom_site_fract_z
In1 In 0.000 0.000 0.000
Re1 Re 0.500 0.500 0.000
As1 As 0.000 0.500 0.500
# * raw total energy: -35.416 eV/atom
# * formation energy from the elements: 0.800 eV/atom

***

# InReAs2, PBEsol geometry, DFT meta-GGA SCAN
data_InReAs2
_cell_length_a 3.216
_cell_length_b 4.951
_cell_length_c 9.335
_cell_angle_alpha 90.00
_cell_angle_beta 90.00
_cell_angle_gamma 90.00
_symmetry_space_group_name_H-M 'C m m 2'
_symmetry_Int_Tables_number 35
loop_
_symmetry_equiv_pos_as_xyz
'x,y,z'
'-x,-y,z'
'-x,y,z'
'x,-y,z'
'x+1/2,y+1/2,z'
'-x+1/2,-y+1/2,z'
'-x+1/2,y+1/2,z'
'x+1/2,-y+1/2,z'
loop_
_atom_site_label
_atom_site_type_symbol
_atom_site_fract_x
_atom_site_fract_y
_atom_site_fract_z
In1 In 0.000 0.000 0.000
Re1 Re 0.000 0.500 0.248
As1 As 0.000 0.000 0.445
As2 As 0.000 0.500 0.740
# * raw total energy: -35.643 eV/atom
# * formation energy from the elements: 0.574 eV/atom

***

# InAs2Rh, PBEsol geometry, DFT meta-GGA SCAN
data_InAs2Rh
_cell_length_a 4.196
_cell_length_b 4.196
_cell_length_c 7.971
_cell_angle_alpha 90.00
_cell_angle_beta 90.00
_cell_angle_gamma 90.00
_symmetry_space_group_name_H-M 'I -4 m 2'
_symmetry_Int_Tables_number 119
_symmetry_space_group_name_Hall 'I -4 -2'
loop_
_atom_site_label
_atom_site_type_symbol
_atom_site_fract_x
_atom_site_fract_y
_atom_site_fract_z
In1 In 0.000 0.000 0.000
As1 As 0.000 0.000 0.500
As2 As 0.000 0.500 0.750
Rh1 Rh 0.000 0.500 0.250
# * raw total energy: -26.721 eV/atom
# * formation energy from the elements: 0.164 eV/atom

***

# InAsRh2, PBEsol geometry, DFT meta-GGA SCAN
data_InAsRh2
_cell_length_a 3.364
_cell_length_b 3.364
_cell_length_c 5.733
_cell_angle_alpha 90.00
_cell_angle_beta 90.00
_cell_angle_gamma 90.00
_symmetry_space_group_name_H-M 'P 4 m m'
_symmetry_Int_Tables_number 99
loop_
_symmetry_equiv_pos_as_xyz
'x,y,z'
'-y,x,z'
'-x,-y,z'
'y,-x,z'
'-x,y,z'
'y,x,z'
'x,-y,z'
'-y,-x,z'
loop_
_atom_site_label
_atom_site_type_symbol
_atom_site_fract_x
_atom_site_fract_y
_atom_site_fract_z
In1 In 0.000 0.000 0.000
As1 As 0.500 0.500 0.647
Rh1 Rh 0.000 0.000 0.512
Rh2 Rh 0.500 0.500 0.215
# * raw total energy: -30.563 eV/atom
# * formation energy from the elements: -0.283 eV/atom